1.
DFT (GGA-PBE) results for crystalline CaIn2I6 at its relaxed geometry.

```
data_CaIn2I6
_chemical_formula_sum 'Ca1 In2 I6'
_cell_length_a 9.631
_cell_length_b 9.631
_cell_length_c 9.631
_cell_angle_alpha 48.59
_cell_angle_beta 48.59
_cell_angle_gamma 48.59
_symmetry_space_group_name_H-M 'P 1'
_symmetry_Int_Tables_number 1
_symmetry_space_group_name_Hall 'P 1'
loop_
_atom_site_label
_atom_site_type_symbol
_atom_site_fract_x
_atom_site_fract_y
_atom_site_fract_z
Ca1 Ca 0.000 0.000 0.000
In1 In 0.279 0.279 0.279
In2 In 0.387 0.387 0.387
I1 I 0.107 0.374 0.781
I2 I 0.199 0.931 0.607
I3 I 0.374 0.781 0.107
I4 I 0.607 0.199 0.931
I5 I 0.781 0.107 0.374
I6 I 0.931 0.607 0.199
```

Results
VASP energy: -24.23 eV/cell
Raw formation energy: -0.83 eV/atom
Offset from the most stable computed form: 0.000 eV/atom

2.
DFT (GGA-PBE) results for crystalline AcB2Ru at its relaxed geometry.

```
data_AcB2Ru
_chemical_formula_sum 'Ac1 B2 Ru1'
_cell_length_a 3.185
_cell_length_b 3.185
_cell_length_c 5.911
_cell_angle_alpha 90.00
_cell_angle_beta 90.00
_cell_angle_gamma 90.00
_symmetry_space_group_name_H-M 'P 1'
_symmetry_Int_Tables_number 1
_symmetry_space_group_name_Hall 'P 1'
loop_
_atom_site_label
_atom_site_type_symbol
_atom_site_fract_x
_atom_site_fract_y
_atom_site_fract_z
Ac1 Ac 0.000 0.000 0.000
B1 B 0.500 0.500 0.354
B2 B 0.500 0.500 0.646
Ru1 Ru 0.000 0.000 0.500
```

Results
VASP energy: -25.44 eV/cell
E_form: 324 meV/atom
Offset from the most stable computed form: 0.603 eV/atom

3.
DFT (GGA-PBE) results for crystalline Pm4InAu2 at its relaxed geometry.

```
data_Pm4InAu2
_chemical_formula_sum 'Pm8 In2 Au4'
_cell_length_a 8.079
_cell_length_b 8.079
_cell_length_c 8.079
_cell_angle_alpha 108.01
_cell_angle_beta 108.01
_cell_angle_gamma 112.44
_symmetry_space_group_name_H-M 'P 1'
_symmetry_Int_Tables_number 1
_symmetry_space_group_name_Hall 'P 1'
loop_
_atom_site_label
_atom_site_type_symbol
_atom_site_fract_x
_atom_site_fract_y
_atom_site_fract_z
Pm1 Pm 0.000 0.391 0.260
Pm2 Pm 0.131 0.739 0.740
Pm3 Pm 0.141 0.250 0.760
Pm4 Pm 0.261 0.000 0.392
Pm5 Pm 0.489 0.381 0.240
Pm6 Pm 0.609 0.869 0.608
Pm7 Pm 0.619 0.859 0.108
Pm8 Pm 0.750 0.511 0.892
In1 In 0.000 0.000 0.000
In2 In 0.750 0.250 0.500
Au1 Au 0.225 0.625 0.100
Au2 Au 0.375 0.475 0.600
Au3 Au 0.525 0.125 0.900
Au4 Au 0.875 0.775 0.400
```

Results
VASP energy: -63.66 eV/cell
E_form: -505 meV/atom

4.
DFT (GGA-PBE) results for crystalline PaCu3I6Cl2 at its relaxed geometry.

```
data_PaCu3I6Cl2
_chemical_formula_sum 'Pa1 Cu3 I6 Cl2'
_cell_length_a 8.194
_cell_length_b 8.194
_cell_length_c 7.584
_cell_angle_alpha 110.28
_cell_angle_beta 110.28
_cell_angle_gamma 58.91
_symmetry_space_group_name_H-M 'P 1'
_symmetry_Int_Tables_number 1
_symmetry_space_group_name_Hall 'P 1'
loop_
_atom_site_label
_atom_site_type_symbol
_atom_site_fract_x
_atom_site_fract_y
_atom_site_fract_z
Pa1 Pa 0.000 0.000 0.000
Cu1 Cu 0.000 0.500 0.000
Cu2 Cu 0.500 0.000 0.000
Cu3 Cu 0.500 0.500 0.500
I1 I 0.136 0.625 0.734
I2 I 0.146 0.146 0.791
I3 I 0.375 0.864 0.266
I4 I 0.625 0.136 0.734
I5 I 0.854 0.854 0.209
I6 I 0.864 0.375 0.266
Cl1 Cl 0.364 0.364 0.238
Cl2 Cl 0.636 0.636 0.762
```

Results
VASP energy: -41.27 eV/cell
Raw formation energy: -0.54 eV/atom

5.
DFT (GGA-PBE) results for crystalline Tm2SbTe at its relaxed geometry.

```
data_Tm2SbTe
_chemical_formula_sum 'Tm6 Sb3 Te3'
_cell_length_a 4.325
_cell_length_b 4.325
_cell_length_c 21.188
_cell_angle_alpha 90.00
_cell_angle_beta 90.00
_cell_angle_gamma 120.00
_symmetry_space_group_name_H-M 'P 1'
_symmetry_Int_Tables_number 1
_symmetry_space_group_name_Hall 'P 1'
loop_
_atom_site_label
_atom_site_type_symbol
_atom_site_fract_x
_atom_site_fract_y
_atom_site_fract_z
Tm1 Tm 0.000 0.000 0.246
Tm2 Tm 0.000 0.000 0.754
Tm3 Tm 0.333 0.667 0.421
Tm4 Tm 0.333 0.667 0.913
Tm5 Tm 0.667 0.333 0.087
Tm6 Tm 0.667 0.333 0.579
Sb1 Sb 0.000 0.000 0.500
Sb2 Sb 0.333 0.667 0.167
Sb3 Sb 0.667 0.333 0.833
Te1 Te 0.000 0.000 0.000
Te2 Te 0.333 0.667 0.667
Te3 Te 0.667 0.333 0.333
```

Results
VASP energy: -62.67 eV/cell
Raw formation energy: -1.17 eV/atom
Offset from the most stable computed form: 0.000 eV/atom

6.
DFT (GGA-PBE) results for crystalline RbAgGeSe3 at its relaxed geometry.

```
data_RbAgGeSe3
_chemical_formula_sum 'Rb2 Ag2 Ge2 Se6'
_cell_length_a 7.392
_cell_length_b 7.392
_cell_length_c 9.003
_cell_angle_alpha 110.57
_cell_angle_beta 110.57
_cell_angle_gamma 63.02
_symmetry_space_group_name_H-M 'P 1'
_symmetry_Int_Tables_number 1
_symmetry_space_group_name_Hall 'P 1'
loop_
_atom_site_label
_atom_site_type_symbol
_atom_site_fract_x
_atom_site_fract_y
_atom_site_fract_z
Rb1 Rb 0.200 0.200 0.218
Rb2 Rb 0.800 0.800 0.782
Ag1 Ag 0.210 0.790 0.500
Ag2 Ag 0.790 0.210 0.500
Ge1 Ge 0.446 0.446 0.740
Ge2 Ge 0.554 0.554 0.260
Se1 Se 0.191 0.697 0.198
Se2 Se 0.250 0.250 0.642
Se3 Se 0.303 0.809 0.802
Se4 Se 0.697 0.191 0.198
Se5 Se 0.750 0.750 0.358
Se6 Se 0.809 0.303 0.802
```

Results
VASP energy: -43.13 eV/cell
Raw formation energy: -0.45 eV/atom